{"formula": "Hf2TiAuBr", "functional": "PBE", "state": "optimized geometry", "cell": [[-4.7186, 1.1973, 0.6405], [-1.0354, -4.3838, 0.5671], [0.7681, 0.4433, 4.8294]], "species": ["Hf", "Hf", "Ti", "Br", "Au"], "fractional_positions": [[0.0000, 0.0000, 0.5000], [0.5000, 0.0000, 0.0000], [0.0000, 0.5000, 0.0000], [0.0000, 0.0000, 0.0000], [0.5000, 0.5000, 0.5000]], "raw_formation_energy_ev_per_atom": 0.54, "vol_a3_per_atom": 21.89}